! CsMgGaF6 SCAN single point on PBEsol structure; values from VASP
! **Energy relative to the elements, uncorrected**: -316 kJ per mole of atoms
! **Total DFT energy (no corrections)**: -219.60 eV/cell
! **M_tot**: 0.061 μB/f.u.
&SYSTEM
  ibrav = 0, nat = 18, ntyp = 4
/
ATOMIC_SPECIES
Cs 132.91 Cs.upf
Mg 24.30 Mg.upf
Ga 69.72 Ga.upf
F 19.00 F.upf
ATOMIC_POSITIONS angstrom
Cs 0.0000 1.8247 1.1876
Cs 3.6087 1.8247 3.9371
Mg 1.8043 1.8247 -2.5623
Mg 1.8043 -1.8247 2.5623
Ga 3.6087 0.0000 0.0000
Ga 0.0000 0.0000 5.1247
F 2.2591 -0.3775 1.2527
F 4.9582 -0.3775 1.2527
F 3.6087 -1.8247 3.2984
F 3.6087 1.8247 0.6671
F 2.2591 3.2719 -1.2527
F 1.3495 -0.3775 3.8720
F 2.2591 4.0270 1.2527
F 1.3495 0.3775 6.3774
F 0.0000 1.8247 4.4576
F 0.0000 5.4741 1.8263
F -1.3495 4.0270 3.8720
F 1.3495 4.0270 3.8720
CELL_PARAMETERS angstrom
-3.6087 3.6494 5.1247
3.6087 -3.6494 5.1247
3.6087 3.6494 -5.1247



! Cs4Na2ScGaF12 SCAN single point on PBEsol structure; values from VASP
! **Energy relative to the elements, uncorrected**: -317 kJ per mole of atoms
! **Total DFT energy (no corrections)**: -298.47 eV/cell
! **M_tot**: 0.368 μB/f.u.
&SYSTEM
  ibrav = 0, nat = 20, ntyp = 5
/
ATOMIC_SPECIES
Cs 132.91 Cs.upf
Na 22.99 Na.upf
Sc 44.96 Sc.upf
Ga 69.72 Ga.upf
F 19.00 F.upf
ATOMIC_POSITIONS angstrom
Cs 0.0000 0.0000 3.9318
Cs 0.0000 0.0000 8.6294
Cs 0.0000 0.0000 22.0368
Cs 0.0000 0.0000 26.7345
Na 0.0000 0.0000 12.4164
Na 0.0000 0.0000 18.2499
Sc 0.0000 0.0000 0.0000
Ga 0.0000 0.0000 15.3331
F -1.3355 -0.7711 14.1957
F 0.0000 -1.9587 11.3836
F -1.6963 0.9794 11.3836
F -1.6963 -0.9794 19.2827
F 0.0000 -1.5421 16.4706
F -1.3355 0.7711 16.4706
F 1.3355 -0.7710 14.1957
F 0.0000 1.5421 14.1957
F 1.6963 0.9794 11.3836
F 1.6963 -0.9794 19.2827
F 0.0000 1.9587 19.2827
F 1.3355 0.7710 16.4705
CELL_PARAMETERS angstrom
3.1281 1.8060 10.2221
-3.1281 1.8060 10.2221
0.0000 -3.6120 10.2221



Question: The lowest total DFT energy (no corrections) belongs to which entry?
Answer: Cs4Na2ScGaF12



Question: Among the records above, which one has the lowest total DFT energy (no corrections)?
Answer: Cs4Na2ScGaF12



Question: energy relative to the elements, uncorrected of number 2 (Cs4Na2ScGaF12)?
Answer: -317 kJ per mole of atoms